KCu2W: optimized geometry, PBE-GGA.

POSCAR file:
```
KCu2W
1.0
4.318 -1.324 0.000
4.318 1.324 0.000
-0.568 0.000 7.136
K Cu W
1 2 1
Cartesian
0.000 0.000 0.000
1.709 0.000 4.676
6.359 0.000 2.460
4.034 0.000 3.568
```

## Properties
Calculated formation energy   0.77 eV per atom
Uncorrected energy   -4.79 eV per atom
Total magnetic moment   0.00 μB per cell
Excess energy over the best structure of this formula in the dataset   49.8 kJ/mol of formula units

---

KCuW: optimized geometry, PBE-GGA.

POSCAR file:
```
KCuW
1.0
9.024 0.000 0.000
0.000 3.162 0.000
0.000 0.000 10.582
K Cu W
4 4 4
Cartesian
0.564 0.790 1.765
3.948 2.371 7.056
5.076 0.790 3.526
8.460 2.371 8.817
2.084 2.371 4.179
2.428 0.790 9.470
6.596 2.371 1.112
6.940 0.790 6.403
0.793 0.790 5.743
3.719 2.371 0.452
5.305 0.790 10.130
8.231 2.371 4.839
```

## Properties
Calculated formation energy   0.94 eV per atom
Uncorrected energy   -5.11 eV per atom
Total magnetic moment   0.00 μB per cell
Excess energy over the best structure of this formula in the dataset   1.4 kJ/mol of formula units

---

KCu2W: optimized geometry, PBE-GGA.

POSCAR file:
```
KCu2W
1.0
0.000 3.333 3.333
3.333 0.000 3.333
3.333 3.333 0.000
K Cu W
1 2 1
Cartesian
0.000 0.000 0.000
1.666 1.666 1.666
4.999 4.999 4.999
3.333 3.333 3.333
```

## Properties
Calculated formation energy   1.48 eV per atom
Uncorrected energy   -4.08 eV per atom
Total magnetic moment   2.74 μB per cell
Excess energy over the best structure of this formula in the dataset   323.5 kJ/mol of formula units

---

KCu2W: optimized geometry, PBE-GGA.

POSCAR file:
```
KCu2W
1.0
-1.904 1.904 4.905
1.904 -1.904 4.905
1.904 1.904 -4.905
K Cu W
1 2 1
Cartesian
0.000 0.000 0.000
0.000 0.000 4.905
0.000 1.904 2.453
1.904 0.000 2.453
```

## Properties
Calculated formation energy   1.55 eV per atom
Uncorrected energy   -4.01 eV per atom
Total magnetic moment   0.00 μB per cell
Excess energy over the best structure of this formula in the dataset   350.2 kJ/mol of formula units

---

KCuW3: optimized geometry, PBE-GGA.

POSCAR file:
```
KCuW3
1.0
4.713 0.000 0.000
0.000 4.713 0.000
0.000 0.000 4.713
K Cu W
1 1 3
Cartesian
0.000 0.000 0.000
2.356 2.356 2.356
0.000 2.356 2.356
2.356 0.000 2.356
2.356 2.356 0.000
```

## Properties
Calculated formation energy   2.40 eV per atom
Uncorrected energy   -6.41 eV per atom
Total magnetic moment   0.00 μB per cell
Excess energy over the best structure of this formula in the dataset   0.0 kJ/mol of formula units

---

KCu2W: optimized geometry, PBE-GGA.

POSCAR file:
```
KCu2W
1.0
0.000 3.248 3.248
3.248 0.000 3.248
3.248 3.248 0.000
K Cu W
1 2 1
Cartesian
0.000 0.000 0.000
3.248 3.248 3.248
4.873 4.873 4.873
1.624 1.624 1.624
```

## Properties
Calculated formation energy   1.70 eV per atom
Uncorrected energy   -3.87 eV per atom
Total magnetic moment   1.46 μB per cell
Excess energy over the best structure of this formula in the dataset   406.4 kJ/mol of formula units

---

KCu2W: optimized geometry, PBE-GGA.

POSCAR file:
```
KCu2W
1.0
4.337 -1.329 0.000
4.337 1.329 0.000
-0.517 0.000 7.128
K Cu W
1 2 1
Cartesian
0.000 0.000 0.000
3.988 0.000 3.434
6.450 0.000 2.275
1.650 0.000 4.425
```

## Properties
Calculated formation energy   0.88 eV per atom
Uncorrected energy   -4.68 eV per atom
Total magnetic moment   0.00 μB per cell
Excess energy over the best structure of this formula in the dataset   91.5 kJ/mol of formula units

---

KCu2W: optimized geometry, PBE-GGA.

POSCAR file:
```
KCu2W
1.0
2.755 0.000 0.000
0.000 2.755 0.000
0.000 0.000 9.290
K Cu W
1 2 1
Cartesian
0.000 0.000 0.000
0.000 0.000 4.939
1.377 1.377 6.526
1.377 1.377 3.055
```

## Properties
Calculated formation energy   0.77 eV per atom
Uncorrected energy   -4.80 eV per atom
Total magnetic moment   0.11 μB per cell
Excess energy over the best structure of this formula in the dataset   47.4 kJ/mol of formula units

---

KCuW: optimized geometry, PBE-GGA.

POSCAR file:
```
KCuW
1.0
-1.428 1.428 7.377
1.428 -1.428 7.377
1.428 1.428 -7.377
K Cu W
1 1 1
Cartesian
0.000 0.000 0.000
0.000 0.000 10.119
0.000 0.000 4.380
```

## Properties
Calculated formation energy   1.01 eV per atom
Uncorrected energy   -5.04 eV per atom
Total magnetic moment   0.00 μB per cell
Excess energy over the best structure of this formula in the dataset   20.4 kJ/mol of formula units

---

KCu2W: optimized geometry, PBE-GGA.

POSCAR file:
```
KCu2W
1.0
3.655 -3.650 0.000
3.655 3.650 0.000
-0.008 0.000 2.584
K Cu W
1 2 1
Cartesian
0.000 0.000 0.000
1.824 1.825 1.292
1.824 -1.825 1.292
3.655 0.000 0.000
```

## Properties
Calculated formation energy   0.86 eV per atom
Uncorrected energy   -4.70 eV per atom
Total magnetic moment   0.00 μB per cell
Excess energy over the best structure of this formula in the dataset   84.2 kJ/mol of formula units

---

K4CuW: optimized geometry, PBE-GGA.

POSCAR file:
```
K4CuW
1.0
0.000 5.018 5.018
5.018 0.000 5.018
5.018 5.018 0.000
K Cu W
4 1 1
Cartesian
1.254 1.254 1.254
3.765 3.765 1.254
3.765 1.254 3.765
1.254 3.765 3.765
5.018 5.018 5.018
7.527 7.527 7.527
```

## Properties
Calculated formation energy   1.47 eV per atom
Uncorrected energy   -2.10 eV per atom
Total magnetic moment   4.70 μB per cell

---

KCuW: optimized geometry, PBE-GGA.

POSCAR file:
```
KCuW
1.0
12.600 0.000 0.000
0.000 4.848 0.000
0.000 0.000 4.707
K Cu W
4 4 4
Cartesian
3.116 1.212 0.008
3.183 3.636 2.361
9.416 1.212 2.346
9.483 3.636 4.699
0.000 0.000 2.354
0.000 2.424 2.354
6.300 0.000 0.000
6.300 2.424 0.000
0.300 3.636 0.000
6.000 1.212 2.354
6.600 3.636 2.353
12.300 1.212 4.707
```

## Properties
Calculated formation energy   0.94 eV per atom
Uncorrected energy   -5.11 eV per atom
Total magnetic moment   0.10 μB per cell
Excess energy over the best structure of this formula in the dataset   0.0 kJ/mol of formula units